No. 1
The following is a PBE calculation of a geometry-optimized CuAsCl2 structure, from the Alexandria database.

As for the uncorrected energy: -0.2095 Ry per atom. The total magnetic moment is 0.50 μB per formula unit. The space group is No. 119. The energy above the lowest structure with this stoichiometry comes out at 0.6100 eV/atom.

The structure in POSCAR format:
```
CuAsCl2
1.0
-1.809 1.809 7.173
1.809 -1.809 7.173
1.809 1.809 -7.173
Cu As Cl
1 1 2
Cartesian
0.000 0.000 0.000
1.809 0.000 3.586
0.000 0.000 7.173
0.000 1.809 3.586
```

No. 2
The following is a PBE calculation of a geometry-optimized Ac2Al3ZnCu4 structure, from the Alexandria database.

As for the uncorrected energy: -0.2945 Ry per atom. The total magnetic moment is 0.00 μB per formula unit. The space group is No. 115.

The structure in POSCAR format:
```
Ac2Al3ZnCu4
1.0
4.444 0.000 0.000
0.000 4.444 0.000
0.000 0.000 10.087
Ac Al Zn Cu
2 3 1 4
Cartesian
0.000 2.222 2.480
2.222 0.000 7.608
0.000 2.222 8.867
2.222 0.000 1.220
2.222 2.222 5.044
0.000 0.000 5.044
0.000 0.000 0.000
0.000 2.222 6.325
2.222 0.000 3.762
2.222 2.222 0.000
```

No. 3
The following is a PBE calculation of a geometry-optimized RbTlICl structure, from the Alexandria database.

As for the uncorrected energy: -0.2157 Ry per atom. The total magnetic moment is 0.00 μB per formula unit. The space group is No. 160. The energy above the lowest structure with this stoichiometry comes out at 0.0000 eV/atom.

The structure in POSCAR format:
```
RbTlICl
1.0
2.397 1.384 8.433
-2.397 1.384 8.433
0.000 -2.767 8.433
Rb Tl I Cl
1 1 1 1
Cartesian
0.000 0.000 0.000
0.000 0.000 4.662
0.000 0.000 10.942
0.000 0.000 15.105
```

No. 4
The following is a PBE calculation of a geometry-optimized LiPmAg structure, from the Alexandria database.

As for the uncorrected energy: -0.2446 Ry per atom. The total magnetic moment is 0.02 μB per formula unit. The space group is No. 59. The energy above the lowest structure with this stoichiometry comes out at 0.0187 eV/atom.

The structure in POSCAR format:
```
LiPmAg
1.0
3.613 0.000 0.000
0.000 3.639 0.000
0.000 0.000 10.513
Li Pm Ag
2 2 2
Cartesian
0.903 0.910 0.734
2.710 2.730 9.778
0.903 0.910 3.967
2.710 2.730 6.545
0.903 0.910 8.442
2.710 2.730 2.070
```

No. 5
The following is a PBE calculation of a geometry-optimized NdPu2In9 structure, from the Alexandria database.

As for the uncorrected energy: -0.3783 Ry per atom. The total magnetic moment is 11.34 μB per formula unit. The space group is No. 123.

The structure in POSCAR format:
```
NdPu2In9
1.0
4.675 0.000 0.000
0.000 4.675 0.000
0.000 0.000 14.042
Nd Pu In
1 2 9
Cartesian
0.000 0.000 0.000
0.000 0.000 4.693
0.000 0.000 9.349
0.000 2.338 2.391
0.000 2.338 7.021
0.000 2.338 11.651
2.338 0.000 2.391
2.338 0.000 7.021
2.338 0.000 11.651
2.338 2.338 0.000
2.338 2.338 4.700
2.338 2.338 9.342
```

No. 6
The following is a PBE calculation of a geometry-optimized Ni2MoPb structure, from the Alexandria database.

As for the uncorrected energy: -0.4457 Ry per atom. The total magnetic moment is 1.58 μB per formula unit. The space group is No. 119.

The structure in POSCAR format:
```
Ni2MoPb
1.0
-1.957 1.957 4.020
1.957 -1.957 4.020
1.957 1.957 -4.020
Ni Mo Pb
2 1 1
Cartesian
0.000 0.000 0.000
0.000 1.957 2.010
0.000 0.000 4.020
1.957 0.000 2.010
```